[1]
# Cs2K4NaHg2

Crystalline Cs2K4NaHg2 at its relaxed geometry (PBE, the Alexandria database).

Its crystal system is triclinic. Its total energy is -8.73 eV/cell. The formation energy is -69 kJ/mol of formula units.

The space group is P-1 (No. 2) and the conventional cell measures 6.883, 9.106 and 10.106 Å, with angles of 78.98, 70.51 and 78.84 degrees. The asymmetric unit holds Cs at (0.155, 0.368, 0.174), K at (0.219, 0.873, 0.103), K at (0.408, 0.253, 0.578), Na at (0.000, 0.000, 0.500) and Hg at (0.117, 0.636, 0.438).

***

[2]
# SrNd2Hg

Crystalline SrNd2Hg at its relaxed geometry (PBE, the Alexandria database).

Its crystal system is trigonal. Its total energy is -33.91 eV/cell. The formation energy is 21 kJ/mol of formula units.

The space group is R-3m (No. 166, hexagonal axes) and the conventional cell measures 3.7864, 3.7864 and 36.2774 Å, with angles of 90.00, 90.00 and 120.00 degrees. The asymmetric unit holds Sr at (0.0000, 0.0000, 0.0000), Nd at (0.0000, 0.0000, 0.1012) and Hg at (0.0000, 0.0000, 0.5000).

***

[3]
# Li2CaInSn2

Crystalline Li2CaInSn2 at its relaxed geometry (PBE, the Alexandria database).

Its crystal system is orthorhombic. Its total energy is -37.93 eV/cell. The formation energy is -231 kJ/mol of formula units.

The space group is Pmc2_1 (No. 26) and the conventional cell measures 4.622, 8.435 and 7.559 Å, with angles of 90.00, 90.00 and 90.00 degrees. The asymmetric unit holds Li at (0.000, 0.078, 0.000), Li at (0.500, 0.210, 0.354), Ca at (0.500, 0.414, 0.954), In at (0.000, 0.295, 0.630), Sn at (0.000, 0.366, 0.242) and Sn at (0.500, 0.080, 0.706).

***

[4]
# Cd9Ag2Pd

Crystalline Cd9Ag2Pd at its relaxed geometry (PBE, the Alexandria database).

Its crystal system is triclinic. Its total energy is -19.98 eV/cell. The formation energy is -82 kJ/mol of formula units.

The space group is P-1 (No. 2) and the conventional cell measures 5.250, 6.687 and 7.604 Å, with angles of 95.36, 98.19 and 105.44 degrees. The asymmetric unit holds Cd at (0.000, 0.000, 0.000), Cd at (0.085, 0.725, 0.578), Cd at (0.142, 0.589, 0.185), Cd at (0.286, 0.186, 0.726), Cd at (0.461, 0.669, 0.880), Ag at (0.317, 0.046, 0.354) and Pd at (0.500, 0.500, 0.500).

***

DOS at the Fermi energy? In order: 5.94, 6.53, 1.04, 2.99 states/eV/f.u..